Record 1
SrNi5P3: single point on PBEsol structure, SCAN.

Structure (CIF):
```
data_SrNi5P3
_symmetry_space_group_name_H-M 'C m c m'
_symmetry_Int_Tables_number 63
_symmetry_space_group_name_Hall '-C 2c 2'
_cell_length_a 3.566
_cell_length_b 11.610
_cell_length_c 11.460
_cell_angle_alpha 90.00
_cell_angle_beta 90.00
_cell_angle_gamma 90.00
loop_
_atom_site_label
_atom_site_fract_x
_atom_site_fract_y
_atom_site_fract_z
_atom_site_occupancy
Sr1 0.000 0.162 0.250 1
Ni1 0.000 0.000 0.000 1
Ni2 0.000 0.198 0.568 1
Ni3 0.000 0.450 0.145 1
P1 0.000 0.115 0.750 1
P2 0.000 0.381 0.537 1
```

Crystal system: orthorhombic
N(E_F) in states/eV/cell: 17.75
Energy of formation in meV per atom: -746

***

Record 2
SrNiP3: single point on PBEsol structure, SCAN.

Structure (CIF):
```
data_SrNiP3
_symmetry_space_group_name_H-M 'P m -3 m'
_symmetry_Int_Tables_number 221
_symmetry_space_group_name_Hall '-P 4 2 3'
_cell_length_a 5.223
_cell_length_b 5.223
_cell_length_c 5.223
_cell_angle_alpha 90.00
_cell_angle_beta 90.00
_cell_angle_gamma 90.00
loop_
_atom_site_label
_atom_site_fract_x
_atom_site_fract_y
_atom_site_fract_z
_atom_site_occupancy
Sr1 0.000 0.000 0.000 1
Ni1 0.500 0.500 0.500 1
P1 0.000 0.000 0.500 1
```

Crystal system: cubic
N(E_F) in states/eV/cell: 8.11
Energy of formation in meV per atom: 1991

***

Record 3
TaNi3P: single point on PBEsol structure, SCAN.

Structure (CIF):
```
data_TaNi3P
_symmetry_space_group_name_H-M 'P m -3 m'
_symmetry_Int_Tables_number 221
_symmetry_space_group_name_Hall '-P 4 2 3'
_cell_length_a 4.063
_cell_length_b 4.063
_cell_length_c 4.063
_cell_angle_alpha 90.00
_cell_angle_beta 90.00
_cell_angle_gamma 90.00
loop_
_atom_site_label
_atom_site_fract_x
_atom_site_fract_y
_atom_site_fract_z
_atom_site_occupancy
Ta1 0.000 0.000 0.000 1
Ni1 0.000 0.500 0.500 1
P1 0.500 0.500 0.500 1
```

Crystal system: cubic
N(E_F) in states/eV/cell: 4.79
Energy of formation in meV per atom: 259

***

Record 4
TbNiP: single point on PBEsol structure, SCAN.

Structure (CIF):
```
data_TbNiP
_symmetry_space_group_name_H-M 'P 63/m m c'
_symmetry_Int_Tables_number 194
_symmetry_space_group_name_Hall '-P 6c 2c'
_cell_length_a 3.8599
_cell_length_b 3.8599
_cell_length_c 7.6381
_cell_angle_alpha 90.00
_cell_angle_beta 90.00
_cell_angle_gamma 120.00
loop_
_atom_site_label
_atom_site_fract_x
_atom_site_fract_y
_atom_site_fract_z
_atom_site_occupancy
Tb1 0.0000 0.0000 0.0000 1
Ni1 0.3333 0.6667 0.2500 1
P1 0.3333 0.6667 0.7500 1
```

Crystal system: hexagonal
N(E_F) in states/eV/cell: 2.37
Energy of formation in meV per atom: -1311

***

Record 5
NiTeP: single point on PBEsol structure, SCAN.

Structure (CIF):
```
data_NiTeP
_symmetry_space_group_name_H-M 'I 4 m m'
_symmetry_Int_Tables_number 107
_symmetry_space_group_name_Hall 'I 4 -2'
_cell_length_a 3.159
_cell_length_b 3.159
_cell_length_c 10.381
_cell_angle_alpha 90.00
_cell_angle_beta 90.00
_cell_angle_gamma 90.00
loop_
_atom_site_label
_atom_site_fract_x
_atom_site_fract_y
_atom_site_fract_z
_atom_site_occupancy
Ni1 0.000 0.000 0.000 1
Te1 0.000 0.000 0.300 1
P1 0.000 0.000 0.559 1
```

Energy relative to the lowest polymorph listed for this composition in meV/atom: 52
Formation energy (no corrections) in eV per atom: 0.21
Crystal system: tetragonal
N(E_F) in states/eV/cell: 2.73

***

Record 6
NiTeP2: single point on PBEsol structure, SCAN.

Structure (CIF):
```
data_NiTeP2
_symmetry_space_group_name_H-M 'P m m m'
_symmetry_Int_Tables_number 47
_symmetry_space_group_name_Hall '-P 2 2'
_cell_length_a 2.844
_cell_length_b 3.092
_cell_length_c 8.499
_cell_angle_alpha 90.00
_cell_angle_beta 90.00
_cell_angle_gamma 90.00
loop_
_atom_site_label
_atom_site_fract_x
_atom_site_fract_y
_atom_site_fract_z
_atom_site_occupancy
Ni1 0.000 0.000 0.000 1
Te1 0.000 0.000 0.500 1
P1 0.500 0.500 0.136 1
```

Formation energy (no corrections) in eV per atom: 0.18
Crystal system: orthorhombic
N(E_F) in states/eV/cell: 2.30